The following is a DFT calculation (GGA-PBE) of a geometry-optimized HoCd6Pb structure.

Cell and atoms, written as POSCAR:
```
HoCd6Pb
1.0
4.883 0.000 0.000
0.000 7.606 0.000
0.000 0.000 10.509
Ho Cd Pb
2 12 2
Direct
0.000 0.000 0.000
0.000 0.500 0.500
0.000 0.000 0.451
0.000 0.204 0.720
0.000 0.296 0.220
0.000 0.500 0.951
0.000 0.704 0.220
0.000 0.796 0.720
0.500 0.000 0.808
0.500 0.208 0.514
0.500 0.292 0.014
0.500 0.500 0.308
0.500 0.708 0.014
0.500 0.792 0.514
0.500 0.000 0.231
0.500 0.500 0.731
```

Values from the calculation:
Spin magnetization   0.000 μB per formula unit
Energy of formation   -108.2 meV/atom
DOS at the Fermi energy   7.13 states/eV per cell
SG   Amm2